Record 1
DFT (PBE) results for a geometry-optimized Al3GeRu structure.

E: -4.83 eV/atom
total magnetic moment: 0.00 μB/f.u.
polymorph energy (0 for the lowest one): 0 meV per atom

```
Al3GeRu
1.0
4.694 0.000 0.000
0.000 4.694 0.000
0.000 0.000 4.694
Ru Ge Al
1 1 3
Cartesian
0.000 0.000 0.000
2.347 2.347 2.347
0.000 2.347 0.000
0.000 0.000 2.347
2.347 0.000 0.000
```

---

Record 2
DFT (PBE) results for a geometry-optimized Al2GeRu3 structure.

E: -7.22 eV/atom
total magnetic moment: 0.00 μB/f.u.

```
Al2GeRu3
1.0
-1.521 -2.280 -1.247
2.241 0.468 -3.587
3.244 -4.345 3.984
Al Ge Ru
2 1 3
Cartesian
2.869 -2.703 1.440
2.616 -1.175 -1.043
0.000 0.000 0.000
0.360 -0.906 -2.417
3.306 -3.681 -0.939
0.658 -2.476 0.088
```

---

Number 1: energy relative to the elements 199 meV/atom. Number 2: energy relative to the elements -565 meV/atom.